(1)
! CsTlHg3Au PBE-GGA relaxed; values from VASP
! * magnetic moment: 0.0 μB per formula unit
! * E: -1.3436 eV/atom
&SYSTEM
  ibrav = 0, nat = 12, ntyp = 4
/
ATOMIC_SPECIES
Cs 132.91 Cs.upf
Tl 204.38 Tl.upf
Hg 200.59 Hg.upf
Au 196.97 Au.upf
ATOMIC_POSITIONS angstrom
Cs 4.1525 4.1031 5.4113
Cs 4.1525 -4.1031 1.8038
Tl 4.1525 0.2986 5.4113
Tl 4.1525 -0.2986 1.8038
Hg 1.5836 0.0000 0.0000
Hg 1.5836 0.0000 3.6075
Hg 4.1525 2.7112 1.8038
Hg 4.1525 -2.7112 5.4113
Hg 6.7213 0.0000 0.0000
Hg 6.7213 0.0000 3.6075
Au 4.1525 5.5109 1.8038
Au 4.1525 -5.5109 5.4113
CELL_PARAMETERS angstrom
4.1525 -7.2358 0.0000
4.1525 7.2358 0.0000
0.0000 0.0000 7.2150

***

(2)
! CsTlHg4Au2 PBE-GGA relaxed; values from VASP
! * magnetic moment: 0.0 μB per formula unit
! * E: -1.4269 eV/atom
&SYSTEM
  ibrav = 0, nat = 8, ntyp = 4
/
ATOMIC_SPECIES
Cs 132.91 Cs.upf
Tl 204.38 Tl.upf
Hg 200.59 Hg.upf
Au 196.97 Au.upf
ATOMIC_POSITIONS angstrom
Cs 0.0000 0.0000 0.0000
Tl 0.0000 0.0000 4.4988
Hg 0.0000 2.7526 2.7562
Hg 0.0000 2.7526 6.2415
Hg 2.7526 0.0000 2.7562
Hg 2.7526 0.0000 6.2415
Au 2.7526 2.7526 2.6093
Au 2.7526 2.7526 6.3883
CELL_PARAMETERS angstrom
5.5051 0.0000 0.0000
0.0000 5.5051 0.0000
0.0000 0.0000 8.9976

***

Number 1: ΔH_f (0 K) -110 meV per atom. Number 2: ΔH_f (0 K) -54 meV per atom.